Entry 1:
Material: HoErSi4
Method: DFT, PBE-GGA
State: optimized geometry

Cell: 8.834 13.517 4.211 Å, 90.00 90.00 90.00°
Sites, in units of the cell vectors:
Ho (0.042, 0.132, 0.000)
Ho (0.458, 0.632, 0.000)
Ho (0.542, 0.368, 0.000)
Ho (0.958, 0.868, 0.000)
Er (0.146, 0.415, 0.000)
Er (0.354, 0.915, 0.000)
Er (0.646, 0.085, 0.000)
Er (0.854, 0.585, 0.000)
Si (0.043, 0.283, 0.500)
Si (0.096, 0.564, 0.500)
Si (0.141, 0.993, 0.500)
Si (0.184, 0.817, 0.500)
Si (0.316, 0.317, 0.500)
Si (0.359, 0.493, 0.500)
Si (0.404, 0.064, 0.500)
Si (0.457, 0.783, 0.500)
Si (0.543, 0.217, 0.500)
Si (0.596, 0.936, 0.500)
Si (0.641, 0.507, 0.500)
Si (0.684, 0.683, 0.500)
Si (0.816, 0.183, 0.500)
Si (0.859, 0.007, 0.500)
Si (0.904, 0.436, 0.500)
Si (0.957, 0.717, 0.500)

Output
- Space group: Pbam, No. 55
- Uncorrected formation energy: -0.394 eV per atom


Entry 2:
Material: Ho4ErSi4
Method: DFT, PBE-GGA
State: optimized geometry

Cell: 8.906 8.906 5.741 Å, 90.00 90.00 90.00°
Sites, in units of the cell vectors:
Ho (0.077, 0.658, 0.125)
Ho (0.158, 0.923, 0.625)
Ho (0.342, 0.577, 0.625)
Ho (0.423, 0.842, 0.125)
Ho (0.577, 0.158, 0.875)
Ho (0.658, 0.423, 0.375)
Ho (0.842, 0.077, 0.375)
Ho (0.923, 0.342, 0.875)
Er (0.250, 0.250, 0.250)
Er (0.750, 0.750, 0.750)
Si (0.021, 0.613, 0.622)
Si (0.113, 0.979, 0.122)
Si (0.387, 0.521, 0.122)
Si (0.479, 0.887, 0.622)
Si (0.521, 0.113, 0.378)
Si (0.613, 0.479, 0.878)
Si (0.887, 0.021, 0.878)
Si (0.979, 0.387, 0.378)

Output
- Space group: P4_2/n, No. 86
- Uncorrected formation energy: -0.480 eV per atom


Entry 3:
Material: Ho3ErSi4
Method: DFT, PBE-GGA
State: optimized geometry

Cell: 3.959 6.209 15.453 Å, 90.00 90.00 90.00°
Sites, in units of the cell vectors:
Ho (0.000, 0.000, 0.000)
Ho (0.000, 0.500, 0.194)
Ho (0.000, 0.500, 0.806)
Ho (0.500, 0.000, 0.306)
Ho (0.500, 0.000, 0.694)
Ho (0.500, 0.500, 0.500)
Er (0.000, 0.000, 0.500)
Er (0.500, 0.500, 0.000)
Si (0.000, 0.313, 0.368)
Si (0.000, 0.313, 0.632)
Si (0.000, 0.687, 0.368)
Si (0.000, 0.687, 0.632)
Si (0.500, 0.187, 0.132)
Si (0.500, 0.187, 0.868)
Si (0.500, 0.813, 0.132)
Si (0.500, 0.813, 0.868)

Output
- Space group: Immm, No. 71
- Uncorrected formation energy: -0.560 eV per atom


Entry 4:
Material: Sm7Ho4Er
Method: DFT, PBE-GGA
State: optimized geometry

Cell: 8.566 8.566 9.323 Å, 114.39 114.39 40.58°
Sites, in units of the cell vectors:
Sm (0.000, 0.000, 0.000)
Sm (0.289, 0.289, 0.120)
Sm (0.291, 0.291, 0.768)
Sm (0.417, 0.417, 0.557)
Sm (0.583, 0.583, 0.443)
Sm (0.709, 0.709, 0.232)
Sm (0.711, 0.711, 0.880)
Ho (0.072, 0.072, 0.698)
Ho (0.172, 0.172, 0.388)
Ho (0.828, 0.828, 0.612)
Ho (0.928, 0.928, 0.302)
Er (0.500, 0.500, 0.000)

Output
- Space group: C2/m, No. 12
- Energy of formation: 227 meV per atom


Entry 5:
Material: Sm2Ho8Er3
Method: DFT, PBE-GGA
State: optimized geometry

Cell: 12.163 19.246 3.539 Å, 90.00 90.00 90.00°
Sites, in units of the cell vectors:
Sm (0.167, 0.130, 0.000)
Sm (0.333, 0.630, 0.000)
Sm (0.667, 0.370, 0.000)
Sm (0.833, 0.870, 0.000)
Ho (0.016, 0.583, 0.000)
Ho (0.123, 0.864, 0.000)
Ho (0.150, 0.299, 0.500)
Ho (0.210, 0.482, 0.500)
Ho (0.290, 0.982, 0.500)
Ho (0.350, 0.799, 0.500)
Ho (0.377, 0.364, 0.000)
Ho (0.484, 0.083, 0.000)
Ho (0.516, 0.917, 0.000)
Ho (0.623, 0.636, 0.000)
Ho (0.650, 0.201, 0.500)
Ho (0.710, 0.018, 0.500)
Ho (0.790, 0.518, 0.500)
Ho (0.850, 0.701, 0.500)
Ho (0.877, 0.136, 0.000)
Ho (0.984, 0.417, 0.000)
Er (0.000, 0.000, 0.500)
Er (0.124, 0.712, 0.500)
Er (0.376, 0.212, 0.500)
Er (0.500, 0.500, 0.500)
Er (0.624, 0.788, 0.500)
Er (0.876, 0.288, 0.500)

Output
- Space group: Pbam, No. 55
- Energy of formation: 71 meV per atom


Entry 6:
Material: Sm8HoEr5
Method: DFT, PBE-GGA
State: optimized geometry

Cell: 8.495 8.495 8.495 Å, 111.09 111.09 106.28°
Sites, in units of the cell vectors:
Sm (0.173, 0.407, 0.587)
Sm (0.328, 0.223, 0.242)
Sm (0.414, 0.827, 0.234)
Sm (0.593, 0.180, 0.766)
Sm (0.777, 0.019, 0.105)
Sm (0.820, 0.586, 0.413)
Sm (0.914, 0.672, 0.895)
Sm (0.981, 0.086, 0.758)
Ho (0.500, 0.500, 0.000)
Er (0.067, 0.471, 0.186)
Er (0.119, 0.933, 0.404)
Er (0.285, 0.881, 0.814)
Er (0.529, 0.715, 0.596)
Er (0.750, 0.250, 0.500)

Output
- Space group: I-4, No. 82
- Energy of formation: 257 meV per atom


Entry 7:
Material: Sm4Ho6Er
Method: DFT, PBE-GGA
State: optimized geometry

Cell: 10.948 10.948 3.543 Å, 90.00 90.00 120.00°
Sites, in units of the cell vectors:
Sm (0.000, 0.000, 0.000)
Sm (0.503, 0.006, 0.500)
Sm (0.503, 0.497, 0.500)
Sm (0.994, 0.497, 0.500)
Ho (0.178, 0.356, 0.000)
Ho (0.178, 0.822, 0.000)
Ho (0.307, 0.153, 0.500)
Ho (0.644, 0.822, 0.000)
Ho (0.847, 0.153, 0.500)
Ho (0.847, 0.693, 0.500)
Er (0.667, 0.333, 0.000)

Output
- Space group: P-6m2, No. 187
- Energy of formation: 164 meV per atom


Entry 8:
Material: Sm4Ho15Er
Method: DFT, PBE-GGA
State: optimized geometry

Cell: 5.013 5.013 25.033 Å, 90.00 90.00 90.00°
Sites, in units of the cell vectors:
Sm (0.000, 0.000, 0.100)
Sm (0.000, 0.000, 0.301)
Sm (0.000, 0.000, 0.699)
Sm (0.000, 0.000, 0.900)
Ho (0.000, 0.500, 0.000)
Ho (0.000, 0.500, 0.201)
Ho (0.000, 0.500, 0.401)
Ho (0.000, 0.500, 0.599)
Ho (0.000, 0.500, 0.799)
Ho (0.500, 0.000, 0.000)
Ho (0.500, 0.000, 0.201)
Ho (0.500, 0.000, 0.401)
Ho (0.500, 0.000, 0.599)
Ho (0.500, 0.000, 0.799)
Ho (0.500, 0.500, 0.100)
Ho (0.500, 0.500, 0.301)
Ho (0.500, 0.500, 0.500)
Ho (0.500, 0.500, 0.699)
Ho (0.500, 0.500, 0.900)
Er (0.000, 0.000, 0.500)

Output
- Space group: P4/mmm, No. 123
- Energy of formation: 20 meV per atom


Entry 9:
Material: Sm7Ho3Er
Method: DFT, PBE-GGA
State: optimized geometry

Cell: 8.488 8.488 5.851 Å, 110.11 110.11 83.00°
Sites, in units of the cell vectors:
Sm (0.000, 0.000, 0.000)
Sm (0.097, 0.517, 0.307)
Sm (0.291, 0.291, 0.793)
Sm (0.483, 0.903, 0.693)
Sm (0.517, 0.097, 0.307)
Sm (0.709, 0.709, 0.207)
Sm (0.903, 0.483, 0.693)
Ho (0.295, 0.705, 0.000)
Ho (0.500, 0.500, 0.500)
Ho (0.705, 0.295, 0.000)
Er (0.000, 0.000, 0.500)

Output
- Space group: C2/m, No. 12
- Energy of formation: 244 meV per atom


Entry 10:
Material: Sm2Ho8Er3
Method: DFT, PBE-GGA
State: optimized geometry

Cell: 10.935 10.935 5.524 Å, 90.00 90.00 139.58°
Sites, in units of the cell vectors:
Sm (0.241, 0.759, 0.000)
Sm (0.759, 0.241, 0.000)
Ho (0.130, 0.870, 0.500)
Ho (0.180, 0.394, 0.000)
Ho (0.337, 0.663, 0.500)
Ho (0.394, 0.180, 0.000)
Ho (0.606, 0.820, 0.000)
Ho (0.663, 0.337, 0.500)
Ho (0.820, 0.606, 0.000)
Ho (0.870, 0.130, 0.500)
Er (0.000, 0.000, 0.000)
Er (0.285, 0.285, 0.500)
Er (0.715, 0.715, 0.500)

Output
- Space group: Cmmm, No. 65
- Energy of formation: 240 meV per atom


Entry 11:
Material: Sm3HoEr7
Method: DFT, PBE-GGA
State: optimized geometry

Cell: 6.901 5.480 9.921 Å, 90.00 109.44 90.00°
Sites, in units of the cell vectors:
Sm (0.000, 0.000, 0.000)
Sm (0.280, 0.500, 0.496)
Sm (0.720, 0.500, 0.504)
Ho (0.500, 0.000, 0.000)
Er (0.000, 0.000, 0.500)
Er (0.149, 0.500, 0.789)
Er (0.320, 0.500, 0.138)
Er (0.424, 0.000, 0.330)
Er (0.576, 0.000, 0.670)
Er (0.680, 0.500, 0.862)
Er (0.851, 0.500, 0.211)

Output
- Space group: P2/m, No. 10
- Energy of formation: 154 meV per atom


Entry 12:
Material: SmHo5Er3
Method: DFT, PBE-GGA
State: optimized geometry

Cell: 10.416 10.416 10.416 Å, 139.76 67.99 127.69°
Sites, in units of the cell vectors:
Sm (0.298, 0.048, 0.250)
Sm (0.702, 0.952, 0.750)
Ho (0.156, 0.318, 0.334)
Ho (0.156, 0.822, 0.838)
Ho (0.340, 0.590, 0.750)
Ho (0.484, 0.318, 0.662)
Ho (0.484, 0.822, 0.166)
Ho (0.516, 0.178, 0.834)
Ho (0.516, 0.682, 0.338)
Ho (0.660, 0.410, 0.250)
Ho (0.844, 0.178, 0.162)
Ho (0.844, 0.682, 0.666)
Er (0.000, 0.000, 0.500)
Er (0.000, 0.500, 0.000)
Er (0.182, 0.748, 0.434)
Er (0.186, 0.252, 0.934)
Er (0.814, 0.748, 0.066)
Er (0.818, 0.252, 0.566)

Output
- Space group: Imma, No. 74
- Energy of formation: 132 meV per atom


Calculated volume, respectively: 502.86, 455.42, 379.93, 399.57, 828.55, 470.90, 367.79, 629.03, 371.73, 428.32, 353.77, 568.25 Å³ per cell.